{
  "formula": "RbHoCuO2",
  "functional": "PBE",
  "state": "optimized geometry",
  "lattice": [[5.649, 0.000, 0.000], [0.000, 7.181, 2.242], [0.000, 0.245, 6.656]],
  "species": ["O", "O", "O", "Rb", "Ho", "Cu", "Cu", "O", "Ho", "Rb"],
  "fractional_positions": [[0.707, 0.118, 0.450], [0.293, 0.882, 0.550], [0.707, 0.882, 0.050], [0.803, 0.500, 0.250], [0.492, 0.000, 0.250], [0.000, 0.000, 0.000], [0.000, 0.000, 0.500], [0.293, 0.118, 0.950], [0.508, 0.000, 0.750], [0.197, 0.500, 0.750]],
  "crystal_system": "monoclinic",
  "raw_formation_energy_ev_per_atom": -1.71
}

---

{
  "formula": "LuMgCoSn",
  "functional": "PBE",
  "state": "optimized geometry",
  "lattice": [[4.685, 0.000, 0.000], [2.343, 4.057, 0.000], [2.343, 1.352, 3.825]],
  "species": ["Co", "Lu", "Sn", "Mg"],
  "fractional_positions": [[0.500, 0.500, 0.500], [0.750, 0.750, 0.750], [0.250, 0.250, 0.250], [0.000, 0.000, 0.000]],
  "e_form_ev_per_atom": -0.1888,
  "crystal_system": "cubic"
}